Crystalline Dy7YSc2 at its relaxed geometry. Source: Alexandria via LeMat-Bulk, functional GGA-PBE.

Properties
calculated total energy = -4.479 eV per atom
magnetization = 0.00 μB per formula unit
ΔE_f = 0.655 eV per atom

a = 8.7725 Å, b = 15.1091 Å, c = 5.5372 Å
α = 90.00°, β = 90.00°, γ = 90.00°
With the nearest neighbours (Å) after each atom.
Space group Cmmm (No. 65)
One atom of each set of equivalent atoms:
Dy 0.0000 0.0000 0.0000  2 Sc 3.10, 4 Dy 3.33
Dy 0.0000 0.2594 0.5000  2 Sc 2.89
Dy 0.1815 0.3798 0.0000  2 Sc 3.07-3.08, 2 Dy 3.18-3.33
Y 0.0000 0.5000 0.5000  10 Dy 3.64-3.67
Sc 0.0000 0.2051 0.0000  7 Dy 2.89-3.10

***

Crystalline Dy3Y7Sc at its relaxed geometry. Source: Alexandria via LeMat-Bulk, functional GGA-PBE.

Properties
calculated total energy = -5.741 eV per atom
magnetization = 0.00 μB per formula unit
ΔE_f = 0.203 eV per atom
energy above the most stable polymorph in this dataset = 56 meV per atom

a = 7.0252 Å, b = 7.0252 Å, c = 8.5394 Å
α = 90.00°, β = 90.00°, γ = 120.00°
With the nearest neighbours (Å) after each atom.
Space group P3m1 (No. 156)
One atom of each set of equivalent atoms:
Dy 0.0024 0.5012 0.0000  5 Y 3.47-3.53, 1 Sc 3.48, 4 Dy 3.49-3.54
Y 0.1686 0.3372 0.3395  1 Sc 3.44, 8 Y 3.47-3.55, 2 Dy 3.53
Y 0.3355 0.1678 0.6700  2 Dy 3.47, 7 Y 3.48-3.54, 2 Sc 3.51
Y 0.6667 0.3333 0.3378  9 Y 3.48-3.51, 3 Dy 3.53
Sc 0.3333 0.6667 0.6671  9 Y 3.44-3.51, 3 Dy 3.48

***

Crystalline DyY2Sc at its relaxed geometry. Source: Alexandria via LeMat-Bulk, functional GGA-PBE.

Properties
calculated total energy = -5.828 eV per atom
magnetization = 0.01 μB per formula unit
ΔE_f = 0.137 eV per atom
energy above the most stable polymorph in this dataset = 112 meV per atom

a = 7.8640 Å, b = 7.8640 Å, c = 7.8640 Å
α = 90.00°, β = 90.00°, γ = 90.00°
With the nearest neighbours (Å) after each atom.
Space group Fm-3m (No. 225)
One atom of each set of equivalent atoms:
Dy 0.0000 0.0000 0.0000  8 Y 3.41
Y 0.2500 0.2500 0.2500  4 Dy 3.41, 4 Sc 3.41
Sc 0.0000 0.0000 0.5000  8 Y 3.41

***

Crystalline Dy4Y5Sc at its relaxed geometry. Source: Alexandria via LeMat-Bulk, functional GGA-PBE.

Properties
calculated total energy = -5.567 eV per atom
magnetization = 0.00 μB per formula unit
ΔE_f = 0.139 eV per atom
energy above the most stable polymorph in this dataset = 0 meV per atom

a = 19.2179 Å, b = 3.5737 Å, c = 9.4386 Å
α = 90.00°, β = 100.34°, γ = 90.00°
With the nearest neighbours (Å) after each atom.
Space group C2/m (No. 12)
One atom of each set of equivalent atoms:
Dy 0.0663 0.0000 0.2835  2 Sc 3.15, 4 Y 3.28-3.41, 2 Dy 3.28
Dy 0.1792 0.5000 0.5085  6 Dy 3.28-3.57, 1 Sc 3.43, 3 Y 3.54-3.55
Y 0.0000 0.5000 0.0000  4 Dy 3.28, 2 Y 3.57
Y 0.1139 0.0000 0.7817  3 Dy 3.41-3.55, 7 Y 3.57-3.72, 2 Sc 3.60
Y 0.2140 0.0000 0.1449  2 Dy 3.33-3.54, 5 Y 3.57-3.71
Sc 0.0000 0.5000 0.5000  6 Dy 3.15-3.43

***

Copy entry 1 word for word.
Crystalline Dy7YSc2 at its relaxed geometry. Source: Alexandria via LeMat-Bulk, functional GGA-PBE.

Properties
calculated total energy = -4.479 eV per atom
magnetization = 0.00 μB per formula unit
ΔE_f = 0.655 eV per atom

a = 8.7725 Å, b = 15.1091 Å, c = 5.5372 Å
α = 90.00°, β = 90.00°, γ = 90.00°
With the nearest neighbours (Å) after each atom.
Space group Cmmm (No. 65)
One atom of each set of equivalent atoms:
Dy 0.0000 0.0000 0.0000  2 Sc 3.10, 4 Dy 3.33
Dy 0.0000 0.2594 0.5000  2 Sc 2.89
Dy 0.1815 0.3798 0.0000  2 Sc 3.07-3.08, 2 Dy 3.18-3.33
Y 0.0000 0.5000 0.5000  10 Dy 3.64-3.67
Sc 0.0000 0.2051 0.0000  7 Dy 2.89-3.10